(1)
VASP calculation (PBE) on a relaxed structure of La5Tb2Er2.

Lattice parameters (Å, degrees): 10.4716 10.4716 10.4716 87.02 103.47 145.00
With the nearest neighbours (Å) after each atom.
Sites, in units of the cell vectors:
La 0.1586 0.4859 0.9615  2 La 3.21-3.47, 2 Er 3.25-3.55, 2 Tb 3.46-3.57
La 0.1586 0.6971 0.1727  2 La 3.21-3.47, 2 Er 3.25-3.55, 2 Tb 3.46-3.57
La 0.2006 0.0502 0.2508  6 La 3.40-3.81, 2 Tb 3.55-3.64, 1 Er 3.72
La 0.2006 0.4498 0.6504  6 La 3.40-3.81, 2 Tb 3.55-3.64, 1 Er 3.72
La 0.5244 0.1971 0.0385  2 La 3.21-3.47, 2 Er 3.25-3.55, 2 Tb 3.46-3.57
La 0.5244 0.9859 0.8273  2 La 3.21-3.47, 2 Er 3.25-3.55, 2 Tb 3.46-3.57
La 0.5793 0.4997 0.5797  3 Er 3.34-3.59, 2 Tb 3.42, 2 La 3.44
La 0.7994 0.5502 0.3496  6 La 3.40-3.81, 2 Tb 3.55-3.64, 1 Er 3.72
La 0.7994 0.9498 0.7492  6 La 3.40-3.81, 2 Tb 3.55-3.64, 1 Er 3.72
La 0.9200 0.9997 0.4203  3 Er 3.34-3.59, 2 Tb 3.42, 2 La 3.44
Tb 0.7932 0.2096 0.3148  6 La 3.42-3.64, 2 Er 3.50-3.52, 1 Tb 3.51
Tb 0.7932 0.9784 0.0836  6 La 3.42-3.64, 2 Er 3.50-3.52, 1 Tb 3.51
Tb 0.8947 0.4784 0.6852  6 La 3.42-3.64, 2 Er 3.50-3.52, 1 Tb 3.51
Tb 0.8947 0.7096 0.9164  6 La 3.42-3.64, 2 Er 3.50-3.52, 1 Tb 3.51
Er 0.2133 0.0218 0.6914  5 La 3.34-3.59, 2 Tb 3.52
Er 0.3304 0.5218 0.3086  5 La 3.34-3.59, 2 Tb 3.52
Er 0.4046 0.4046 0.0000  2 La 3.25, 2 Tb 3.50
Er 0.4046 0.9046 0.5000  2 La 3.25, 2 Tb 3.50

Summary:
formation enthalpy at 0 K	0.165	eV per atom
V	34.47	A^3/atom
DOS(E_F)	25.14	states/eV per cell
energy above the most stable polymorph in this dataset	120	kJ/mol of formula units
VASP energy	-4.62	eV/atom

=====

(2)
VASP calculation (PBE) on a relaxed structure of LaTb8Er3.

Lattice parameters (Å, degrees): 8.6699 8.6699 8.6699 136.52 98.17 97.60
With the nearest neighbours (Å) after each atom.
Sites, in units of the cell vectors:
La 0.0000 0.0000 0.0000  8 Tb 3.35-3.46
Tb 0.0820 0.2514 0.8306  6 Tb 3.38-3.70, 4 Er 3.43-3.76, 1 La 3.46
Tb 0.2613 0.2430 0.5043  6 Tb 3.12-3.43, 1 Er 3.17, 1 La 3.35
Tb 0.2613 0.7570 0.0183  6 Tb 3.12-3.43, 1 Er 3.17, 1 La 3.35
Tb 0.4208 0.2514 0.1694  6 Tb 3.38-3.70, 4 Er 3.43-3.76, 1 La 3.46
Tb 0.5792 0.7486 0.8306  6 Tb 3.38-3.70, 4 Er 3.43-3.76, 1 La 3.46
Tb 0.7387 0.2430 0.9817  6 Tb 3.12-3.43, 1 Er 3.17, 1 La 3.35
Tb 0.7387 0.7570 0.4957  6 Tb 3.12-3.43, 1 Er 3.17, 1 La 3.35
Tb 0.9180 0.7486 0.1694  6 Tb 3.38-3.70, 4 Er 3.43-3.76, 1 La 3.46
Er 0.2630 0.7630 0.5000  10 Tb 3.75-4.14
Er 0.5000 0.5000 0.0000  8 Tb 3.17-3.43
Er 0.7370 0.2370 0.5000  10 Tb 3.75-4.14

Summary:
formation enthalpy at 0 K	0.333	eV per atom
V	34.71	A^3/atom
DOS(E_F)	15.44	states/eV per cell
VASP energy	-4.30	eV/atom

=====

(3)
VASP calculation (PBE) on a relaxed structure of La3Tb8Er2.

Lattice parameters (Å, degrees): 7.7642 5.6836 10.8077 90.00 111.00 90.00
With the nearest neighbours (Å) after each atom.
Sites, in units of the cell vectors:
La 0.0000 0.0000 0.0000  4 Tb 3.17-3.18
La 0.2980 0.5000 0.9999  1 La 3.14
La 0.7020 0.5000 0.0001  1 La 3.14
Tb 0.1371 0.5000 0.2744  2 Er 3.53, 2 La 3.61, 6 Tb 3.68-3.95
Tb 0.1819 0.0000 0.7799  1 La 3.17, 3 Tb 3.23-3.52, 2 Er 3.41-3.48
Tb 0.3256 0.5000 0.6509  2 Er 3.31, 4 Tb 3.52
Tb 0.4021 0.0000 0.2202  1 La 3.18, 3 Tb 3.23-3.52, 2 Er 3.41-3.48
Tb 0.5979 0.0000 0.7798  1 La 3.18, 3 Tb 3.23-3.52, 2 Er 3.41-3.48
Tb 0.6744 0.5000 0.3491  2 Er 3.31, 4 Tb 3.52
Tb 0.8181 0.0000 0.2201  1 La 3.17, 3 Tb 3.23-3.52, 2 Er 3.41-3.48
Tb 0.8629 0.5000 0.7256  2 Er 3.53, 2 La 3.61, 6 Tb 3.68-3.95
Er 0.2411 0.0000 0.4821  8 Tb 3.31-3.53
Er 0.7589 0.0000 0.5179  8 Tb 3.31-3.53

Summary:
formation enthalpy at 0 K	0.242	eV per atom
V	34.25	A^3/atom
DOS(E_F)	21.07	states/eV per cell
VASP energy	-4.45	eV/atom

=====

(4)
VASP calculation (PBE) on a relaxed structure of La6TbEr3.

Lattice parameters (Å, degrees): 9.0683 9.0683 9.0683 80.07 80.07 80.07
With the nearest neighbours (Å) after each atom.
Sites, in units of the cell vectors:
La 0.0366 0.3325 0.0377  1 La 2.98, 1 Tb 3.17
La 0.0377 0.0366 0.3325  1 La 2.98, 1 Tb 3.17
La 0.2128 0.2135 0.5911  2 La 3.39-3.75, 2 Er 3.53-3.54
La 0.2135 0.5911 0.2128  2 La 3.39-3.75, 2 Er 3.53-3.54
La 0.3325 0.0377 0.0366  1 La 2.98, 1 Tb 3.17
La 0.4089 0.7872 0.7865  2 La 3.39-3.75, 2 Er 3.53-3.54
La 0.5911 0.2128 0.2135  2 La 3.39-3.75, 2 Er 3.53-3.54
La 0.6675 0.9623 0.9634  1 La 2.98, 1 Tb 3.17
La 0.7865 0.4089 0.7872  2 La 3.39-3.75, 2 Er 3.53-3.54
La 0.7872 0.7865 0.4089  2 La 3.39-3.75, 2 Er 3.53-3.54
La 0.9623 0.9634 0.6675  1 La 2.98, 1 Tb 3.17
La 0.9634 0.6675 0.9623  1 La 2.98, 1 Tb 3.17
Tb 0.0000 0.0000 0.0000  6 La 3.17
Tb 0.5000 0.5000 0.5000  6 Er 3.31
Er 0.1350 0.6069 0.6052  1 Tb 3.31, 4 La 3.43-3.54, 2 Er 3.68
Er 0.3931 0.3948 0.8650  1 Tb 3.31, 4 La 3.43-3.54, 2 Er 3.68
Er 0.3948 0.8650 0.3931  1 Tb 3.31, 4 La 3.43-3.54, 2 Er 3.68
Er 0.6052 0.1350 0.6069  1 Tb 3.31, 4 La 3.43-3.54, 2 Er 3.68
Er 0.6069 0.6052 0.1350  1 Tb 3.31, 4 La 3.43-3.54, 2 Er 3.68
Er 0.8650 0.3931 0.3948  1 Tb 3.31, 4 La 3.43-3.54, 2 Er 3.68

Summary:
formation enthalpy at 0 K	0.239	eV per atom
V	35.78	A^3/atom
DOS(E_F)	31.57	states/eV per cell
VASP energy	-4.55	eV/atom

=====

(5)
VASP calculation (PBE) on a relaxed structure of LaTb2Er12.

Lattice parameters (Å, degrees): 6.3603 6.3603 24.9683 90.00 90.00 90.00
With the nearest neighbours (Å) after each atom.
Sites, in units of the cell vectors:
La 0.2500 0.7500 0.0000  4 Er 3.43
La 0.7500 0.2500 0.0000  4 Er 3.43
Tb 0.2500 0.7500 0.2772  8 Er 3.50-3.57
Tb 0.2500 0.7500 0.7228  8 Er 3.50-3.57
Tb 0.7500 0.2500 0.2772  8 Er 3.50-3.57
Tb 0.7500 0.2500 0.7228  8 Er 3.50-3.57
Er 0.0675 0.5675 0.1206  7 Er 3.28-3.38, 1 La 3.43
Er 0.0675 0.9325 0.8794  7 Er 3.28-3.38, 1 La 3.43
Er 0.0812 0.5812 0.4400  8 Er 3.04-3.40
Er 0.0812 0.9188 0.5600  8 Er 3.04-3.40
Er 0.2500 0.2500 0.2184  5 Er 3.09-3.38
Er 0.2500 0.2500 0.3420  5 Er 3.09-3.40
Er 0.2500 0.2500 0.6580  5 Er 3.09-3.40
Er 0.2500 0.2500 0.7816  5 Er 3.09-3.38
Er 0.4188 0.5812 0.5600  8 Er 3.04-3.40
Er 0.4188 0.9188 0.4400  8 Er 3.04-3.40
Er 0.4325 0.5675 0.8794  7 Er 3.28-3.38, 1 La 3.43
Er 0.4325 0.9325 0.1206  7 Er 3.28-3.38, 1 La 3.43
Er 0.5675 0.0675 0.8794  7 Er 3.28-3.38, 1 La 3.43
Er 0.5675 0.4325 0.1206  7 Er 3.28-3.38, 1 La 3.43
Er 0.5812 0.0812 0.5600  8 Er 3.04-3.40
Er 0.5812 0.4188 0.4400  8 Er 3.04-3.40
Er 0.7500 0.7500 0.2184  5 Er 3.09-3.38
Er 0.7500 0.7500 0.3420  5 Er 3.09-3.40
Er 0.7500 0.7500 0.6580  5 Er 3.09-3.40
Er 0.7500 0.7500 0.7816  5 Er 3.09-3.38
Er 0.9188 0.0812 0.4400  8 Er 3.04-3.40
Er 0.9188 0.4188 0.5600  8 Er 3.04-3.40
Er 0.9325 0.0675 0.1206  7 Er 3.28-3.38, 1 La 3.43
Er 0.9325 0.4325 0.8794  7 Er 3.28-3.38, 1 La 3.43

Summary:
formation enthalpy at 0 K	0.316	eV per atom
V	33.67	A^3/atom
DOS(E_F)	47.16	states/eV per cell
VASP energy	-4.28	eV/atom

=====

(6)
VASP calculation (PBE) on a relaxed structure of La4Tb10Er.

Lattice parameters (Å, degrees): 9.0521 9.0521 9.0521 114.35 114.35 100.09
With the nearest neighbours (Å) after each atom.
Sites, in units of the cell vectors:
La 0.0683 0.3210 0.3893  4 Tb 3.46-3.63, 1 La 3.76
La 0.3210 0.9317 0.2527  4 Tb 3.46-3.63, 1 La 3.76
La 0.6790 0.0683 0.7473  4 Tb 3.46-3.63, 1 La 3.76
La 0.9317 0.6790 0.6107  4 Tb 3.46-3.63, 1 La 3.76
Tb 0.1124 0.4568 0.8940  2 Tb 3.11-3.31, 1 Er 3.13
Tb 0.2184 0.1124 0.6556  2 Tb 3.11-3.31, 1 Er 3.13
Tb 0.2500 0.7500 0.5000  4 Tb 3.11, 4 La 3.46
Tb 0.4372 0.7816 0.8940  2 Tb 3.11-3.31, 1 Er 3.13
Tb 0.4568 0.5628 0.3444  2 Tb 3.11-3.31, 1 Er 3.13
Tb 0.5432 0.4372 0.6556  2 Tb 3.11-3.31, 1 Er 3.13
Tb 0.5628 0.2184 0.1060  2 Tb 3.11-3.31, 1 Er 3.13
Tb 0.7500 0.2500 0.5000  4 Tb 3.11, 4 La 3.46
Tb 0.7816 0.8876 0.3444  2 Tb 3.11-3.31, 1 Er 3.13
Tb 0.8876 0.5432 0.1060  2 Tb 3.11-3.31, 1 Er 3.13
Er 0.5000 0.5000 0.0000  8 Tb 3.13

Summary:
formation enthalpy at 0 K	0.382	eV per atom
V	37.32	A^3/atom
DOS(E_F)	22.16	states/eV per cell
VASP energy	-4.32	eV/atom